No. 1
A plane-wave DFT calculation with PBE was carried out for crystalline CsBe2V at its relaxed geometry.

## Properties
Symmetry: No. 225
Volume: 22.330 Å³/atom
E_tot: -2.599 eV/atom

Structure (POSCAR):
```
CsBe2V
1.0
0.0000 3.5479 3.5479
3.5479 0.0000 3.5479
3.5479 3.5479 0.0000
Be Cs V
2 1 1
direct
0.7500 0.7500 0.7500 Be
0.2500 0.2500 0.2500 Be
0.5000 0.5000 0.5000 Cs
0.0000 0.0000 0.0000 V
```

No. 2
A plane-wave DFT calculation with PBE was carried out for crystalline LiSc2Pb at its relaxed geometry.

## Properties
Symmetry: No. 123
Volume: 22.180 Å³/atom
E_tot: -4.842 eV/atom

Structure (POSCAR):
```
LiSc2Pb
1.0
-2.8128 3.3914 1.2188
-2.2953 -2.8788 2.7132
2.5796 0.9812 3.2233
Li Pb Sc
1 1 2
direct
0.5000 0.0000 0.5000 Li
0.0000 0.5000 0.5000 Pb
0.0000 0.0000 0.0000 Sc
0.5000 0.5000 0.0000 Sc
```

No. 3
A plane-wave DFT calculation with PBE was carried out for crystalline CsOsPb3 at its relaxed geometry.

## Properties
Symmetry: No. 221
Volume: 32.678 Å³/atom
E_tot: -4.165 eV/atom

Structure (POSCAR):
```
CsOsPb3
1.0
-3.9634 3.7282 0.5280
-2.7860 -2.3879 -4.0525
-2.5330 -3.2071 3.6312
Pb Cs Os
3 1 1
direct
0.5000 0.0000 0.0000 Pb
0.0000 0.0000 0.5000 Pb
0.0000 0.5000 0.0000 Pb
0.5000 0.5000 0.5000 Cs
0.0000 0.0000 0.0000 Os
```

Sequential Fermi-level density of states output: 4.95, 3.00, 6.17 states/eV/cell